Here is ZnHg2Pb2 after structural relaxation from Alexandria. Energies are from PBEsol.

SG   I4/mmm
DFT total energy   -1.944 eV per atom

abc: 3.9292 3.9292 17.1350
angles: 90.00 90.00 90.00
Last column: nearest neighbours and their distance in Å.
Fractional positions:
Zn: 0.0000 0.0000 0.0000  8 Pb 3.22
Zn: 0.5000 0.5000 0.5000  8 Pb 3.22
Hg: 0.0000 0.5000 0.2500  4 Hg 2.78
Hg: 0.0000 0.5000 0.7500  4 Hg 2.78
Hg: 0.5000 0.0000 0.2500  4 Hg 2.78
Hg: 0.5000 0.0000 0.7500  4 Hg 2.78
Pb: 0.0000 0.0000 0.4047  4 Zn 3.22, 1 Pb 3.26, 4 Hg 3.30
Pb: 0.0000 0.0000 0.5953  4 Zn 3.22, 1 Pb 3.26, 4 Hg 3.30
Pb: 0.5000 0.5000 0.0953  4 Zn 3.22, 1 Pb 3.26, 4 Hg 3.30
Pb: 0.5000 0.5000 0.9047  4 Zn 3.22, 1 Pb 3.26, 4 Hg 3.30

***

Here is BaNa2O2 after structural relaxation from Alexandria. Energies are from PBEsol.

ΔE_f (raw)   -1.654 eV/atom
SG   Cmc2_1
Excess energy over the best structure of this formula in the dataset   0.0 meV/atom
DFT total energy   -4.744 eV per atom

abc: 6.9227 6.9227 7.4524
angles: 90.00 90.00 148.62
Last column: nearest neighbours and their distance in Å.
Fractional positions:
Ba: 0.1966 0.8034 0.5000  5 O 2.66-2.70
Ba: 0.8034 0.1966 0.0000  5 O 2.66-2.70
Na: 0.0470 0.9530 0.0553  3 O 2.33-2.36
Na: 0.4230 0.5770 0.2923  4 O 2.27-2.38
Na: 0.5770 0.4230 0.7923  4 O 2.27-2.38
Na: 0.9530 0.0470 0.5553  3 O 2.33-2.36
O: 0.1815 0.8185 0.8553  3 Na 2.33-2.38
O: 0.4464 0.5536 0.9883  4 Na 2.27-2.36
O: 0.5536 0.4464 0.4883  4 Na 2.27-2.36
O: 0.8185 0.1815 0.3553  3 Na 2.33-2.38

***

Here is MnTe3Pt after structural relaxation from Alexandria. Energies are from PBEsol.

ΔE_f (raw)   0.683 eV/atom
SG   Pm-3m
DFT total energy   -4.778 eV per atom

abc: 5.2426 5.2426 5.2426
angles: 90.00 90.00 90.00
Last column: nearest neighbours and their distance in Å.
Fractional positions:
Mn: 0.0000 0.0000 0.0000  12 Te 3.71
Te: 0.0000 0.5000 0.5000  2 Pt 2.62
Te: 0.5000 0.0000 0.5000  2 Pt 2.62
Te: 0.5000 0.5000 0.0000  2 Pt 2.62
Pt: 0.5000 0.5000 0.5000  6 Te 2.62

***

Here is ScZnGaBi2 after structural relaxation from Alexandria. Energies are from PBEsol.

SG   P4/mmm
DFT total energy   -3.663 eV per atom

abc: 5.4776 5.4776 5.2479
angles: 90.00 90.00 90.00
Last column: nearest neighbours and their distance in Å.
Fractional positions:
Sc: 0.0000 0.0000 0.0000  2 Zn 2.62, 4 Bi 2.74
Zn: 0.0000 0.0000 0.5000  2 Sc 2.62
Ga: 0.5000 0.5000 0.5000  8 Bi 3.79, 4 Zn 3.87
Bi: 0.0000 0.5000 0.0000  2 Sc 2.74
Bi: 0.5000 0.0000 0.0000  2 Sc 2.74

***

Here is LiMn5O3F5 after structural relaxation from Alexandria. Energies are from PBEsol.

ΔE_f (raw)   -1.789 eV/atom
SG   Cm
Excess energy over the best structure of this formula in the dataset   0.0 meV/atom
DFT total energy   -7.229 eV per atom

abc: 6.2523 6.2523 6.2780
angles: 119.97 119.97 59.64
Last column: nearest neighbours and their distance in Å.
Fractional positions:
Li: 0.0000 0.0000 0.0000  1 O 1.98, 4 F 2.08-2.12
Mn: 0.3249 0.3249 0.5773  2 O 1.93-2.00, 2 F 2.12
Mn: 0.4754 0.9988 0.9953  3 O 2.04-2.08, 2 F 2.26-2.28
Mn: 0.6355 0.6355 0.3490  1 O 1.97, 3 F 2.04-2.06
Mn: 0.9876 0.9876 0.4884  2 O 2.01-2.02, 2 F 2.22
Mn: 0.9988 0.4754 0.9953  3 O 2.04-2.08, 2 F 2.26-2.28
O: 0.2126 0.2126 0.7416  4 Mn 2.00-2.08
O: 0.2232 0.2232 0.2037  3 Mn 1.93-2.04, 1 Li 1.98
O: 0.7623 0.7623 0.2178  4 Mn 1.97-2.06
F: 0.2205 0.7392 0.7413  3 Mn 2.12-2.28, 1 Li 2.12
F: 0.2318 0.7494 0.2203  3 Mn 2.06-2.27, 1 Li 2.08
F: 0.7392 0.2205 0.7413  3 Mn 2.12-2.28, 1 Li 2.12
F: 0.7494 0.2318 0.2203  3 Mn 2.06-2.27, 1 Li 2.08
F: 0.7485 0.7485 0.7452  1 Mn 2.04, 1 Li 2.23

***

Here is CrNiP2F after structural relaxation from Alexandria. Energies are from PBEsol.

ΔE_f (raw)   0.404 eV/atom
SG   P4/mmm
DFT total energy   -5.578 eV per atom

abc: 4.2197 4.2197 4.4442
angles: 90.00 90.00 90.00
Last column: nearest neighbours and their distance in Å.
Fractional positions:
Cr: 0.0000 0.0000 0.0000  4 P 2.11, 2 Ni 2.22
Ni: 0.0000 0.0000 0.5000  2 Cr 2.22
P: 0.0000 0.5000 0.0000  2 Cr 2.11
P: 0.5000 0.0000 0.0000  2 Cr 2.11
F: 0.5000 0.5000 0.5000  4 Ni 2.98, 8 P 3.06

***

Here is Li3V3B2O10 after structural relaxation from Alexandria. Energies are from PBEsol.

ΔE_f (raw)   -2.323 eV/atom
SG   Pm
Excess energy over the best structure of this formula in the dataset   25.8 meV/atom
DFT total energy   -7.953 eV per atom

abc: 9.1784 2.8659 12.0419
angles: 90.00 90.72 90.00
Last column: nearest neighbours and their distance in Å.
Fractional positions:
Li: 0.0000 0.0000 0.0000  5 O 1.90-2.09
Li: 0.0020 0.0000 0.2785  6 O 2.07-2.11
Li: 0.0204 0.0000 0.5555  4 O 1.96-2.12
Li: 0.2650 0.5000 0.6645  6 O 2.01-2.16
Li: 0.4847 0.0000 0.7792  5 O 1.95-2.15
Li: 0.5014 0.5000 0.2789  6 O 2.05
V: 0.0030 0.5000 0.7773  6 O 1.86-2.01
V: 0.2319 0.5000 0.1721  5 O 1.84-1.99
V: 0.4925 0.0000 0.0616  6 O 1.89-2.04
V: 0.5010 0.0000 0.4990  1 O 1.63
V: 0.7424 0.5000 0.8889  6 O 1.94-1.98
V: 0.7696 0.5000 0.3859  5 O 1.84-1.98
B: 0.2271 0.5000 0.4236  3 O 1.32-1.46
B: 0.2698 0.5000 0.9079  2 O 1.32-1.38
B: 0.7311 0.5000 0.6465  3 O 1.35-1.44
B: 0.7703 0.5000 0.1343  3 O 1.36-1.42
O: 0.1060 0.0000 0.7196  2 V 1.86
O: 0.1170 0.0000 0.1317  2 V 1.84, 1 Li 1.90
O: 0.1194 0.5000 0.9142  1 B 1.38
O: 0.1571 0.5000 0.5183  1 B 1.32
O: 0.1605 0.5000 0.3191  1 B 1.39
O: 0.3442 0.5000 0.0175  1 B 1.48
O: 0.3513 0.5000 0.8186  1 B 1.32
O: 0.3792 0.0000 0.1992  3 V 1.97-1.99, 2 Li 2.05
O: 0.3858 0.5000 0.4235  1 B 1.46
O: 0.4168 0.0000 0.6175  1 V 1.63
O: 0.6150 0.0000 0.9362  3 V 1.89-1.94
O: 0.6152 0.5000 0.1334  1 B 1.42
O: 0.6242 0.0000 0.3584  3 V 1.98-2.05, 2 Li 2.05
O: 0.6514 0.5000 0.7410  1 B 1.36
O: 0.6557 0.5000 0.5408  1 B 1.44
O: 0.8422 0.5000 0.0361  1 B 1.36
O: 0.8421 0.5000 0.2349  1 B 1.37
O: 0.8784 0.5000 0.6442  1 B 1.35
O: 0.8799 0.0000 0.8464  4 V 1.98-2.01, 1 Li 2.14
O: 0.8849 0.0000 0.4244  2 V 1.84, 1 Li 2.00

***

Here is ZrAgSe2 after structural relaxation from Alexandria. Energies are from PBEsol.

ΔE_f (raw)   -0.558 eV/atom
SG   I-4m2
DFT total energy   -5.583 eV per atom

abc: 3.8427 3.8427 10.2018
angles: 90.00 90.00 90.00
Last column: nearest neighbours and their distance in Å.
Fractional positions:
Zr: 0.0000 0.0000 0.0000  4 Se 2.72
Zr: 0.5000 0.5000 0.5000  4 Se 2.72
Ag: 0.0000 0.5000 0.2500  4 Se 2.72
Ag: 0.5000 0.0000 0.7500  4 Se 2.72
Se: 0.0000 0.0000 0.5000  4 Zr 2.72
Se: 0.0000 0.5000 0.7500  4 Ag 2.72
Se: 0.5000 0.0000 0.2500  4 Ag 2.72
Se: 0.5000 0.5000 0.0000  4 Zr 2.72

***

Here is YCuBr2 after structural relaxation from Alexandria. Energies are from PBEsol.

ΔE_f (raw)   -0.438 eV/atom
SG   Cmmm
Excess energy over the best structure of this formula in the dataset   384.8 meV/atom
DFT total energy   -4.163 eV per atom

abc: 3.5272 6.3497 8.3379
angles: 90.00 90.00 90.00
Last column: nearest neighbours and their distance in Å.
Fractional positions:
Y: 0.0000 0.0000 0.0000  4 Br 2.98
Y: 0.5000 0.5000 0.0000  4 Br 2.98
Cu: 0.0000 0.0000 0.5000  4 Br 2.50
Cu: 0.5000 0.5000 0.5000  4 Br 2.50
Br: 0.0000 0.5000 0.2874  2 Cu 2.50
Br: 0.0000 0.5000 0.7126  2 Cu 2.50
Br: 0.5000 0.0000 0.2874  2 Cu 2.50
Br: 0.5000 0.0000 0.7126  2 Cu 2.50

***

Here is NaHf3Os after structural relaxation from Alexandria. Energies are from PBEsol.

SG   Pm-3m
DFT total energy   -6.955 eV per atom

abc: 4.6748 4.6748 4.6748
angles: 90.00 90.00 90.00
Last column: nearest neighbours and their distance in Å.
Fractional positions:
Na: 0.0000 0.0000 0.0000  6 Hf 2.34
Hf: 0.0000 0.0000 0.5000  2 Na 2.34
Hf: 0.0000 0.5000 0.0000  2 Na 2.34
Hf: 0.5000 0.0000 0.0000  2 Na 2.34
Os: 0.5000 0.5000 0.5000  12 Hf 3.31

***

Here is RbPd2Pb2 after structural relaxation from Alexandria. Energies are from PBEsol.

SG   I4/mmm
DFT total energy   -4.368 eV per atom

abc: 4.9323 4.9323 11.1022
angles: 90.00 90.00 90.00
Last column: nearest neighbours and their distance in Å.
Fractional positions:
Rb: 0.0000 0.0000 0.0000  8 Pd 3.71, 10 Pb 3.86-3.90
Rb: 0.5000 0.5000 0.5000  8 Pd 3.71, 10 Pb 3.86-3.90
Pd: 0.0000 0.5000 0.2500  4 Pb 2.71
Pd: 0.0000 0.5000 0.7500  4 Pb 2.71
Pd: 0.5000 0.0000 0.2500  4 Pb 2.71
Pd: 0.5000 0.0000 0.7500  4 Pb 2.71
Pb: 0.0000 0.0000 0.3514  4 Pd 2.71
Pb: 0.0000 0.0000 0.6486  4 Pd 2.71
Pb: 0.5000 0.5000 0.1486  4 Pd 2.71
Pb: 0.5000 0.5000 0.8514  4 Pd 2.71

***

Here is RePb3F after structural relaxation from Alexandria. Energies are from PBEsol.

ΔE_f (raw)   -0.022 eV/atom
SG   Pm-3m
DFT total energy   -5.473 eV per atom

abc: 5.2159 5.2159 5.2159
angles: 90.00 90.00 90.00
Last column: nearest neighbours and their distance in Å.
Fractional positions:
Re: 0.0000 0.0000 0.0000  6 Pb 2.61
Pb: 0.0000 0.0000 0.5000  2 Re 2.61
Pb: 0.0000 0.5000 0.0000  2 Re 2.61
Pb: 0.5000 0.0000 0.0000  2 Re 2.61
F: 0.5000 0.5000 0.5000  12 Pb 3.69

***

Here is Mg3PbI after structural relaxation from Alexandria. Energies are from PBEsol.

ΔE_f (raw)   0.046 eV/atom
SG   Pm-3m
DFT total energy   -2.137 eV per atom

abc: 5.5292 5.5292 5.5292
angles: 90.00 90.00 90.00
Last column: nearest neighbours and their distance in Å.
Fractional positions:
Mg: 0.0000 0.0000 0.5000  2 Pb 2.76
Mg: 0.0000 0.5000 0.0000  2 Pb 2.76
Mg: 0.5000 0.0000 0.0000  2 Pb 2.76
Pb: 0.0000 0.0000 0.0000  6 Mg 2.76
I: 0.5000 0.5000 0.5000  12 Mg 3.91